# PBE-GGA KTiNiS3, relaxed
data_KTiNiS3
_chemical_formula_sum 'K2 Ti2 Ni2 S6'
_cell_length_a 8.372
_cell_length_b 3.566
_cell_length_c 9.073
_cell_angle_alpha 90.00
_cell_angle_beta 114.00
_cell_angle_gamma 90.00
_space_group_name_H-M_alt 'P 1 21/m 1'
_space_group_IT_number 11
loop_
_space_group_symop_operation_xyz
'x,y,z'
'-x,-y,-z'
'-x,y+1/2,-z'
'x,-y+1/2,z'
loop_
_atom_site_label
_atom_site_fract_x
_atom_site_fract_y
_atom_site_fract_z
_atom_site_occupancy
K1 0.227 0.250 0.250 1
Ti1 0.311 0.750 0.839 1
Ni1 0.089 0.250 0.602 1
S1 0.123 0.250 0.861 1
S2 0.211 0.750 0.546 1
S3 0.474 0.750 0.144 1
# **Formation energy from raw total energies**: -1.1241 eV/atom


# PBE-GGA K3Ti3NiS8, relaxed
data_K3Ti3NiS8
_chemical_formula_sum 'K9 Ti9 Ni3 S24'
_cell_length_a 7.1223
_cell_length_b 7.1223
_cell_length_c 22.3107
_cell_angle_alpha 90.00
_cell_angle_beta 90.00
_cell_angle_gamma 120.00
_space_group_name_H-M_alt 'R -3 m'
_space_group_IT_number 166
_space_group_name_Hall '-R 3 2"'
loop_
_atom_site_label
_atom_site_fract_x
_atom_site_fract_y
_atom_site_fract_z
_atom_site_occupancy
K1 0.0000 0.5000 0.0000 1
Ti1 0.0000 0.5000 0.5000 1
Ni1 0.0000 0.0000 0.5000 1
S1 0.0000 0.0000 0.2295 1
S2 0.0014 0.5007 0.2264 1
# **Formation energy from raw total energies**: -1.1580 eV/atom


# PBE-GGA K2UNiS5, relaxed
data_K2UNiS5
_chemical_formula_sum 'K8 U4 Ni4 S20'
_cell_length_a 3.960
_cell_length_b 19.142
_cell_length_c 13.280
_cell_angle_alpha 90.00
_cell_angle_beta 90.00
_cell_angle_gamma 90.00
_space_group_name_H-M_alt 'C m c 21'
_space_group_IT_number 36
loop_
_space_group_symop_operation_xyz
'x,y,z'
'-x,-y,z+1/2'
'-x,y,z'
'x,-y,z+1/2'
'x+1/2,y+1/2,z'
'-x+1/2,-y+1/2,z+1/2'
'-x+1/2,y+1/2,z'
'x+1/2,-y+1/2,z+1/2'
loop_
_atom_site_label
_atom_site_fract_x
_atom_site_fract_y
_atom_site_fract_z
_atom_site_occupancy
K1 0.000 0.119 0.000 1
K2 0.000 0.120 0.358 1
U1 0.000 0.205 0.685 1
Ni1 0.000 0.409 0.076 1
S1 0.000 0.072 0.647 1
S2 0.000 0.294 0.055 1
S3 0.000 0.305 0.315 1
S4 0.000 0.333 0.682 1
S5 0.000 0.490 0.968 1
# **Formation energy from raw total energies**: -0.9982 eV/atom


# PBE-GGA KUNiS4, relaxed
data_KUNiS4
_chemical_formula_sum 'K2 U2 Ni2 S8'
_cell_length_a 6.349
_cell_length_b 5.738
_cell_length_c 8.832
_cell_angle_alpha 90.00
_cell_angle_beta 106.93
_cell_angle_gamma 90.00
_space_group_name_H-M_alt 'P 1 21/m 1'
_space_group_IT_number 11
loop_
_space_group_symop_operation_xyz
'x,y,z'
'-x,-y,-z'
'-x,y+1/2,-z'
'x,-y+1/2,z'
loop_
_atom_site_label
_atom_site_fract_x
_atom_site_fract_y
_atom_site_fract_z
_atom_site_occupancy
K1 0.247 0.250 0.449 1
U1 0.240 0.250 0.943 1
Ni1 0.272 0.750 0.152 1
S1 0.063 0.750 0.318 1
S2 0.063 0.750 0.910 1
S3 0.477 0.517 0.798 1
# **Formation energy from raw total energies**: -1.0428 eV/atom